No. 1
# CaTe2Pb

CaTe2Pb after structural relaxation (PBE, Alexandria).

abc: 7.1293 7.1293 8.9094
angles: 66.42 66.42 90.00
Closest atoms and distances in Å follow each position.
Sites, in units of the cell vectors:
Pb1 0.0000 0.0000 0.0000  4 Te 3.16
Pb2 0.7500 0.2500 0.5000  4 Te 3.16
Ca1 0.5000 0.5000 0.0000  4 Te 3.07
Ca2 0.2500 0.7500 0.5000  4 Te 3.07
Te1 0.6141 0.1250 0.2500  2 Ca 3.07, 2 Pb 3.16
Te2 0.1359 0.6250 0.2500  2 Ca 3.07, 2 Pb 3.16
Te3 0.3750 0.3859 0.7500  2 Ca 3.07, 2 Pb 3.16
Te4 0.8750 0.8641 0.7500  2 Ca 3.07, 2 Pb 3.16

Properties
Energy relative to the elements, uncorrected (kJ per mole of atoms): -78.1
Electronic total energy (eV/atom): -3.808
SG: No. 122


No. 2
# Ca2TePb

Ca2TePb after structural relaxation (PBE, Alexandria).

abc: 4.2554 7.3343 6.5258
angles: 40.60 90.00 90.00
Closest atoms and distances in Å follow each position.
Sites, in units of the cell vectors:
Pb1 0.5000 0.5000 0.5000  6 Ca 3.23-3.26
Ca1 0.0000 0.0000 0.0000  4 Pb 3.23, 2 Te 3.26
Ca2 0.5000 0.5000 0.0000  4 Te 3.23, 2 Pb 3.26
Te1 0.0000 0.0000 0.5000  6 Ca 3.23-3.26

Properties
Energy relative to the elements, uncorrected (kJ per mole of atoms): -78.6
Electronic total energy (eV/atom): -3.527
SG: No. 10
E above lowest polymorph (eV/atom): 0.1488


No. 3
# CaTe6Pb5

CaTe6Pb5 after structural relaxation (PBE, Alexandria).

abc: 7.9985 8.0065 8.0054
angles: 60.00 80.40 70.51
Closest atoms and distances in Å follow each position.
Sites, in units of the cell vectors:
Pb1 0.5000 0.1673 0.6653  6 Te 3.27-3.31
Pb2 0.0000 0.3334 0.3332  6 Te 3.27
Pb3 0.5000 0.5000 0.0000  6 Te 3.27-3.31
Pb4 0.0000 0.6666 0.6668  6 Te 3.27
Pb5 0.5000 0.8327 0.3347  6 Te 3.27-3.31
Ca1 0.0000 0.0000 0.0000  6 Te 3.22-3.23
Te1 0.7536 0.0821 0.3285  1 Ca 3.22, 5 Pb 3.27-3.31
Te2 0.2464 0.5894 0.3285  1 Ca 3.22, 5 Pb 3.27-3.31
Te3 0.2479 0.2456 0.0000  1 Ca 3.23, 5 Pb 3.27-3.31
Te4 0.7521 0.7544 0.0000  1 Ca 3.23, 5 Pb 3.27-3.31
Te5 0.7536 0.4106 0.6715  1 Ca 3.22, 5 Pb 3.27-3.31
Te6 0.2464 0.9179 0.6715  1 Ca 3.22, 5 Pb 3.27-3.31

Properties
Energy relative to the elements, uncorrected (kJ per mole of atoms): -58.5
Electronic total energy (eV/atom): -3.889
SG: No. 12


No. 4
# CaYTe4Pb2

CaYTe4Pb2 after structural relaxation (PBE, Alexandria).

abc: 4.5380 7.9955 7.8970
angles: 109.24 90.00 90.00
Closest atoms and distances in Å follow each position.
Sites, in units of the cell vectors:
Ca1 0.0000 0.0000 0.0000  6 Te 3.20-3.22
Y1 0.5000 0.5000 0.0000  6 Te 3.15
Te1 0.5000 0.2520 0.2379  1 Y 3.15, 2 Ca 3.20, 3 Pb 3.27-3.33
Te2 0.5000 0.7480 0.7621  1 Y 3.15, 2 Ca 3.20, 3 Pb 3.27-3.33
Te3 0.0000 0.2616 0.7648  2 Y 3.15, 1 Ca 3.22, 3 Pb 3.26-3.32
Te4 0.0000 0.7384 0.2352  2 Y 3.15, 1 Ca 3.22, 3 Pb 3.26-3.32
Pb1 0.5000 0.0000 0.5000  6 Te 3.32-3.33
Pb2 0.0000 0.5000 0.5000  6 Te 3.26-3.27

Properties
Energy relative to the elements, uncorrected (kJ per mole of atoms): -84.3
Electronic total energy (eV/atom): -4.430
SG: No. 10


No. 5
# Ca2YTe4Pb

Ca2YTe4Pb after structural relaxation (PBE, Alexandria).

abc: 4.4807 7.8652 7.8027
angles: 109.28 90.00 90.00
Closest atoms and distances in Å follow each position.
Sites, in units of the cell vectors:
Ca1 0.5000 0.0000 0.5000  6 Te 3.22-3.24
Ca2 0.0000 0.5000 0.5000  6 Te 3.15-3.17
Y1 0.5000 0.5000 0.0000  6 Te 3.15-3.16
Te1 0.5000 0.2585 0.2518  1 Y 3.15, 3 Ca 3.15-3.24, 2 Pb 3.22
Te2 0.5000 0.7415 0.7482  1 Y 3.15, 3 Ca 3.15-3.24, 2 Pb 3.22
Te3 0.0000 0.2567 0.7528  2 Y 3.16, 3 Ca 3.17-3.22, 1 Pb 3.22
Te4 0.0000 0.7433 0.2472  2 Y 3.16, 3 Ca 3.17-3.22, 1 Pb 3.22
Pb1 0.0000 0.0000 0.0000  6 Te 3.22

Properties
Energy relative to the elements, uncorrected (kJ per mole of atoms): -116.2
Electronic total energy (eV/atom): -4.547
SG: No. 10


No. 6
# Ca2ThPb5

Ca2ThPb5 after structural relaxation (PBE, Alexandria).

abc: 6.8182 6.8182 6.8182
angles: 107.17 107.17 114.18
Closest atoms and distances in Å follow each position.
Sites, in units of the cell vectors:
Ca1 0.2777 0.7780 0.5001  8 Pb 3.41, 2 Ca 3.70
Ca2 0.7777 0.2779 0.4999  8 Pb 3.41, 2 Ca 3.70
Th1 0.7783 0.7781 0.0000  10 Pb 3.41-3.71
Pb1 0.2780 0.2782 0.5004  4 Pb 3.41-3.70, 4 Ca 3.41, 2 Th 3.41
Pb2 0.2781 0.7776 0.0000  4 Ca 3.41, 2 Th 3.41, 4 Pb 3.41-3.71
Pb3 0.7778 0.2780 0.0000  4 Pb 3.41-3.71, 2 Th 3.41, 4 Ca 3.41
Pb4 0.7776 0.7778 0.4996  4 Pb 3.41-3.70, 2 Th 3.41, 4 Ca 3.41
Pb5 0.2777 0.2775 0.0000  8 Pb 3.41, 2 Th 3.70-3.71

Properties
Electronic total energy (eV/atom): -4.072
SG: No. 139


No. 7
# CaTh3Pb5

CaTh3Pb5 after structural relaxation (PBE, Alexandria).

abc: 6.6038 9.7508 9.7508
angles: 120.00 90.00 90.00
Closest atoms and distances in Å follow each position.
Sites, in units of the cell vectors:
Ca1 0.0000 0.0000 0.0000  6 Pb 3.21, 2 Ca 3.30
Ca2 0.5000 0.0000 0.0000  6 Pb 3.21, 2 Ca 3.30
Th1 0.7500 0.3843 0.0000  9 Pb 3.25-3.45
Th2 0.7500 0.6157 0.6157  9 Pb 3.25-3.45
Th3 0.7500 0.0000 0.3843  9 Pb 3.25-3.45
Th4 0.2500 0.6157 0.0000  9 Pb 3.25-3.45
Th5 0.2500 0.3843 0.3843  9 Pb 3.25-3.45
Th6 0.2500 0.0000 0.6157  9 Pb 3.25-3.45
Pb1 0.0000 0.3333 0.6667  2 Pb 3.30, 6 Th 3.45
Pb2 0.5000 0.6667 0.3333  2 Pb 3.30, 6 Th 3.45
Pb3 0.0000 0.6667 0.3333  2 Pb 3.30, 6 Th 3.45
Pb4 0.5000 0.3333 0.6667  2 Pb 3.30, 6 Th 3.45
Pb5 0.7500 0.7172 0.0000  2 Ca 3.21, 5 Th 3.25-3.45
Pb6 0.7500 0.2828 0.2828  2 Ca 3.21, 5 Th 3.25-3.45
Pb7 0.7500 0.0000 0.7172  2 Ca 3.21, 5 Th 3.25-3.45
Pb8 0.2500 0.2828 0.0000  2 Ca 3.21, 5 Th 3.25-3.45
Pb9 0.2500 0.7172 0.7172  2 Ca 3.21, 5 Th 3.25-3.45
Pb10 0.2500 0.0000 0.2828  2 Ca 3.21, 5 Th 3.25-3.45

Properties
Electronic total energy (eV/atom): -5.077
SG: No. 193


No. 8
# CaTh2Pb

CaTh2Pb after structural relaxation (PBE, Alexandria).

abc: 3.4853 3.4853 12.8417
angles: 82.20 82.20 60.00
Closest atoms and distances in Å follow each position.
Sites, in units of the cell vectors:
Pb1 0.5000 0.5000 0.5000  6 Pb 3.49, 6 Th 3.50
Ca1 0.0000 0.0000 0.0000  2 Th 3.48, 6 Ca 3.49
Th1 0.0915 0.0915 0.7254  1 Ca 3.48, 6 Th 3.49, 3 Pb 3.50
Th2 0.9085 0.9085 0.2746  1 Ca 3.48, 6 Th 3.49, 3 Pb 3.50

Properties
Electronic total energy (eV/atom): -4.996
SG: No. 166


No. 9
# Ca5ThPb6

Ca5ThPb6 after structural relaxation (PBE, Alexandria).

abc: 5.1073 9.0898 9.3870
angles: 61.04 74.03 90.00
Closest atoms and distances in Å follow each position.
Sites, in units of the cell vectors:
Pb1 0.8346 0.5859 0.3318  7 Ca 3.39-3.47, 1 Th 3.43, 4 Pb 3.63-3.66
Pb2 0.8346 0.0823 0.3318  7 Ca 3.39-3.47, 1 Th 3.43, 4 Pb 3.63-3.66
Pb3 0.5000 0.7538 0.0000  2 Th 3.40, 6 Ca 3.44-3.51, 4 Pb 3.63-3.64
Pb4 0.5000 0.2462 0.0000  2 Th 3.40, 6 Ca 3.44-3.51, 4 Pb 3.63-3.64
Pb5 0.1654 0.9177 0.6682  7 Ca 3.39-3.47, 1 Th 3.43, 4 Pb 3.63-3.66
Pb6 0.1654 0.4141 0.6682  7 Ca 3.39-3.47, 1 Th 3.43, 4 Pb 3.63-3.66
Ca1 0.6736 0.1738 0.6524  8 Pb 3.39-3.51, 2 Ca 3.57-3.59, 2 Th 3.72-3.73
Ca2 0.3349 0.3347 0.3306  8 Pb 3.43-3.47, 4 Ca 3.57-3.64
Ca3 0.0000 0.5000 0.0000  8 Pb 3.44-3.45, 4 Ca 3.62-3.64
Ca4 0.6651 0.6653 0.6694  8 Pb 3.43-3.47, 4 Ca 3.57-3.64
Ca5 0.3264 0.8262 0.3476  8 Pb 3.39-3.51, 2 Ca 3.57-3.59, 2 Th 3.72-3.73
Th1 0.0000 0.0000 0.0000  8 Pb 3.40-3.43, 4 Ca 3.72-3.73

Properties
Electronic total energy (eV/atom): -3.767
SG: No. 12


No. 10
# CaThPb

CaThPb after structural relaxation (PBE, Alexandria).

abc: 5.3242 5.3242 8.8946
angles: 72.58 72.58 60.00
Closest atoms and distances in Å follow each position.
Sites, in units of the cell vectors:
Ca1 0.2875 0.2875 0.1375  4 Pb 3.27-3.41, 1 Th 3.61
Ca2 0.7125 0.7125 0.8625  4 Pb 3.27-3.41, 1 Th 3.61
Th1 0.1435 0.1435 0.5695  3 Th 3.29, 3 Pb 3.35, 1 Ca 3.61
Th2 0.8565 0.8565 0.4305  3 Th 3.29, 3 Pb 3.35, 1 Ca 3.61
Pb1 0.4237 0.4237 0.7289  4 Ca 3.27-3.41, 3 Th 3.35
Pb2 0.5763 0.5763 0.2711  4 Ca 3.27-3.41, 3 Th 3.35

Properties
Electronic total energy (eV/atom): -4.418
SG: No. 166


No. 11
# CaTh3Pb12

CaTh3Pb12 after structural relaxation (PBE, Alexandria).

abc: 4.9399 4.9399 19.4698
angles: 90.00 90.00 90.00
Closest atoms and distances in Å follow each position.
Sites, in units of the cell vectors:
Ca1 0.0000 0.0000 0.0000  12 Pb 3.46-3.49
Th1 0.0000 0.0000 0.2535  12 Pb 3.43-3.52
Th2 0.0000 0.0000 0.5000  12 Pb 3.46-3.49
Th3 0.0000 0.0000 0.7465  12 Pb 3.43-3.52
Pb1 0.5000 0.5000 0.0000  8 Pb 3.46, 4 Ca 3.49
Pb2 0.5000 0.5000 0.2493  8 Pb 3.46-3.49, 4 Th 3.49
Pb3 0.5000 0.5000 0.5000  8 Pb 3.46, 4 Th 3.49
Pb4 0.5000 0.5000 0.7507  8 Pb 3.46-3.49, 4 Th 3.49
Pb5 0.5000 0.0000 0.1246  8 Pb 3.46-3.49, 2 Ca 3.46, 2 Th 3.52
Pb6 0.5000 0.0000 0.3757  4 Th 3.43-3.46, 8 Pb 3.46-3.49
Pb7 0.5000 0.0000 0.6243  4 Th 3.43-3.46, 8 Pb 3.46-3.49
Pb8 0.5000 0.0000 0.8754  8 Pb 3.46-3.49, 2 Ca 3.46, 2 Th 3.52
Pb9 0.0000 0.5000 0.1246  8 Pb 3.46-3.49, 2 Ca 3.46, 2 Th 3.52
Pb10 0.0000 0.5000 0.3757  4 Th 3.43-3.46, 8 Pb 3.46-3.49
Pb11 0.0000 0.5000 0.6243  4 Th 3.43-3.46, 8 Pb 3.46-3.49
Pb12 0.0000 0.5000 0.8754  8 Pb 3.46-3.49, 2 Ca 3.46, 2 Th 3.52

Properties
Electronic total energy (eV/atom): -4.554
SG: No. 123


No. 12
# CaThTlPb

CaThTlPb after structural relaxation (PBE, Alexandria).

abc: 5.5375 5.5375 5.5375
angles: 60.00 60.00 60.00
Closest atoms and distances in Å follow each position.
Sites, in units of the cell vectors:
Pb1 0.5000 0.5000 0.5000  4 Th 3.39, 4 Ca 3.39
Tl1 0.0000 0.0000 0.0000  4 Ca 3.39, 4 Th 3.39
Ca1 0.7500 0.7500 0.7500  4 Tl 3.39, 4 Pb 3.39
Th1 0.2500 0.2500 0.2500  4 Tl 3.39, 4 Pb 3.39

Properties
Electronic total energy (eV/atom): -4.112
SG: No. 216


What is the electronic total energy in the first record?
-3.808 eV/atom


The highest electronic total energy belongs to which entry?
Ca2TePb


Look up the electronic total energy of the second one.
-3.527 eV/atom


What is the electronic total energy in the seventh record?
-5.077 eV/atom